Below is a geometry-optimized Er4PdRu structure, with properties calculated at the PBE level.

Electronic total energy: -5.90 eV/atom
Energy relative to the elements: -0.444 eV per atom
V: 155.5 Å³ per cell
N(E_F): 0.654 states/eV/atom

```
data_Er4PdRu
_chemical_formula_sum 'Er4 Pd1 Ru1'
_space_group_name_H-M_alt 'P 4/m m m'
_space_group_IT_number 123
_space_group_name_Hall '-P 4 2'
_cell_length_a 4.7800
_cell_length_b 4.7800
_cell_length_c 6.8063
_cell_angle_alpha 90.00
_cell_angle_beta 90.00
_cell_angle_gamma 90.00
loop_
_atom_site_label
_atom_site_type_symbol
_atom_site_fract_x
_atom_site_fract_y
_atom_site_fract_z
Er1 Er 0.0000 0.5000 0.2425
Pd1 Pd 0.0000 0.0000 0.5000
Ru1 Ru 0.5000 0.5000 0.0000
```